# 1
A relaxed BaRu2Se crystal, computed with GGA-PBEsol.

Cell and atoms, written as CIF:
```
data_BaRu2Se
_symmetry_space_group_name_H-M 'P 1'
_symmetry_Int_Tables_number 1
_cell_length_a 3.1501
_cell_length_b 5.2258
_cell_length_c 4.6182
_cell_angle_alpha 90.00
_cell_angle_beta 90.00
_cell_angle_gamma 90.00
loop_
_symmetry_equiv_pos_as_xyz
'x,y,z'
loop_
_atom_site_label
_atom_site_fract_x
_atom_site_fract_y
_atom_site_fract_z
_atom_site_occupancy
Ba1 0.0000 0.5000 0.5000 1
Ru1 0.0000 0.0000 0.0000 1
Ru2 0.5000 0.5000 0.0000 1
Se1 0.5000 0.0000 0.5000 1
```

Values from the calculation:
DFT total energy, eV per atom: -5.818

---

# 2
A relaxed ScC3 crystal, computed with GGA-PBEsol.

Cell and atoms, written as CIF:
```
data_ScC3
_symmetry_space_group_name_H-M 'P 1'
_symmetry_Int_Tables_number 1
_cell_length_a 2.6801
_cell_length_b 4.7908
_cell_length_c 6.3858
_cell_angle_alpha 112.03
_cell_angle_beta 90.00
_cell_angle_gamma 90.00
loop_
_symmetry_equiv_pos_as_xyz
'x,y,z'
loop_
_atom_site_label
_atom_site_fract_x
_atom_site_fract_y
_atom_site_fract_z
_atom_site_occupancy
Sc1 0.7500 0.3369 0.6737 1
Sc2 0.2500 0.6631 0.3263 1
C1 0.7500 0.8271 0.6542 1
C2 0.2500 0.1729 0.3458 1
C3 0.7500 0.9535 0.2024 1
C4 0.2500 0.0465 0.7976 1
C5 0.2500 0.7512 0.7976 1
C6 0.7500 0.2488 0.2024 1
```

Values from the calculation:
Energy of formation from the pure elements, meV per atom: 820
Offset from the most stable computed form, eV per atom: 0.007

---

# 3
A relaxed CuSiTe crystal, computed with GGA-PBEsol.

Cell and atoms, written as CIF:
```
data_CuSiTe
_symmetry_space_group_name_H-M 'P 1'
_symmetry_Int_Tables_number 1
_cell_length_a 3.1519
_cell_length_b 3.1519
_cell_length_c 6.4755
_cell_angle_alpha 104.09
_cell_angle_beta 104.09
_cell_angle_gamma 90.00
loop_
_symmetry_equiv_pos_as_xyz
'x,y,z'
loop_
_atom_site_label
_atom_site_fract_x
_atom_site_fract_y
_atom_site_fract_z
_atom_site_occupancy
Cu1 0.1148 0.1148 0.2295 1
Si1 0.5510 0.5510 0.1021 1
Te1 0.3342 0.3342 0.6684 1
```

Values from the calculation:
Offset from the most stable computed form, eV per atom: 0.014

---

# 4
A relaxed Y2TaSi crystal, computed with GGA-PBEsol.

Cell and atoms, written as CIF:
```
data_Y2TaSi
_symmetry_space_group_name_H-M 'P 1'
_symmetry_Int_Tables_number 1
_cell_length_a 3.1235
_cell_length_b 3.1235
_cell_length_c 8.7922
_cell_angle_alpha 90.00
_cell_angle_beta 90.00
_cell_angle_gamma 90.00
loop_
_symmetry_equiv_pos_as_xyz
'x,y,z'
loop_
_atom_site_label
_atom_site_fract_x
_atom_site_fract_y
_atom_site_fract_z
_atom_site_occupancy
Si1 0.5000 0.5000 0.0000 1
Ta1 0.5000 0.5000 0.5000 1
Y1 0.0000 0.0000 0.7675 1
Y2 0.0000 0.0000 0.2325 1
```

Values from the calculation:
DFT total energy, eV per atom: -8.023

---

no.,total magnetic moment (μB/f.u.),density (Mg/m³)
1,0.009,9.1
2,0.000,3.5
3,0.000,6.0
4,0.000,7.5